An optimized crystal structure of Nd2MgS4. Source: Alexandria, functional PBE.

Geometry as POSCAR:
```
Nd2MgS4
1.0
12.992 0.000 0.000
0.000 3.975 0.000
0.000 0.000 14.006
Nd Mg S
8 4 16
Direct
0.123 0.250 0.073
0.130 0.250 0.708
0.370 0.750 0.208
0.377 0.750 0.573
0.623 0.250 0.427
0.630 0.250 0.792
0.870 0.750 0.292
0.877 0.750 0.927
0.106 0.750 0.463
0.394 0.250 0.963
0.606 0.750 0.037
0.894 0.250 0.537
0.000 0.250 0.387
0.000 0.750 0.613
0.024 0.250 0.886
0.230 0.250 0.516
0.232 0.250 0.244
0.268 0.750 0.744
0.270 0.750 0.016
0.476 0.750 0.386
0.500 0.250 0.113
0.500 0.750 0.887
0.524 0.250 0.614
0.730 0.250 0.984
0.732 0.250 0.256
0.768 0.750 0.756
0.770 0.750 0.484
0.976 0.750 0.114
```

Values from the calculation:
space-group type = Pnma (62)
final energy = -5.72 eV per atom
DOS at the Fermi energy = 0.000 states/eV/atom
formation energy without anion corrections = -12.42 eV per formula unit